A geometry-optimized PmSm2Ru structure. Source: Alexandria, functional GGA-PBE.

**Uncorrected energy**: -6.08 eV per atom
**Volume**: 229 Å³ per cell
**Space group**: Cmcm
**Density**: 7.941 Mg/m³
**Energy of formation**: -209 meV/atom

Cell: 3.9745 6.4292 9.4087 Å, 90.00 90.00 107.99°
Positions (direct):
Pm (0.4208, 0.8413, 0.2500)
Pm (0.5792, 0.1587, 0.7500)
Sm (0.1429, 0.2864, 0.4302)
Sm (0.8571, 0.7136, 0.5698)
Sm (0.8571, 0.7136, 0.9302)
Sm (0.1429, 0.2864, 0.0698)
Ru (0.7546, 0.5091, 0.2500)
Ru (0.2454, 0.4909, 0.7500)

---

A geometry-optimized PmSm12Ru7 structure. Source: Alexandria, functional GGA-PBE.

**Uncorrected energy**: -6.42 eV per atom
**Volume**: 570 Å³ per cell
**Space group**: R-3
**Density**: 7.739 Mg/m³
**Energy of formation**: -109 meV/atom

Cell: 8.7617 8.7617 8.7617 Å, 106.33 106.33 106.33°
Positions (direct):
Pm (0.0000, 0.0000, 0.0000)
Sm (0.9211, 0.2816, 0.7438)
Sm (0.7184, 0.2562, 0.0789)
Sm (0.4451, 0.1542, 0.3857)
Sm (0.8458, 0.6143, 0.5549)
Sm (0.2562, 0.0789, 0.7184)
Sm (0.6143, 0.5549, 0.8458)
Sm (0.3857, 0.4451, 0.1542)
Sm (0.7438, 0.9211, 0.2816)
Sm (0.1542, 0.3857, 0.4451)
Sm (0.5549, 0.8458, 0.6143)
Sm (0.2816, 0.7438, 0.9211)
Sm (0.0789, 0.7184, 0.2562)
Ru (0.9539, 0.6106, 0.9000)
Ru (0.3894, 0.1000, 0.0461)
Ru (0.1000, 0.0461, 0.3894)
Ru (0.5000, 0.5000, 0.5000)
Ru (0.9000, 0.9539, 0.6106)
Ru (0.6106, 0.9000, 0.9539)
Ru (0.0461, 0.3894, 0.1000)

---

A geometry-optimized Pm2SmRu structure. Source: Alexandria, functional GGA-PBE.

**Uncorrected energy**: -5.95 eV per atom
**Volume**: 114 Å³ per cell
**Space group**: P4/mmm
**Density**: 7.886 Mg/m³
**Energy of formation**: -79 meV/atom

Cell: 3.5052 3.5052 9.2790 Å, 90.00 90.00 90.00°
Positions (direct):
Ru (0.5000, 0.5000, 0.0000)
Sm (0.5000, 0.5000, 0.5000)
Pm (0.0000, 0.0000, 0.8169)
Pm (0.0000, 0.0000, 0.1831)

---

A geometry-optimized Pm3Sm2Ru2 structure. Source: Alexandria, functional GGA-PBE.

**Uncorrected energy**: -6.26 eV per atom
**Volume**: 195 Å³ per cell
**Space group**: C2/m
**Density**: 7.993 Mg/m³
**Energy of formation**: -229 meV/atom

Cell: 3.9348 6.4332 8.8636 Å, 112.97 90.00 107.81°
Positions (direct):
Pm (0.5000, 0.0000, 0.0000)
Pm (0.6196, 0.2393, 0.4251)
Pm (0.3804, 0.7607, 0.5749)
Sm (0.8316, 0.6631, 0.1908)
Sm (0.1684, 0.3369, 0.8092)
Ru (0.8185, 0.6370, 0.7699)
Ru (0.1815, 0.3630, 0.2301)

---

A geometry-optimized PmSm2Ru structure. Source: Alexandria, functional GGA-PBE.

**Uncorrected energy**: -5.98 eV per atom
**Volume**: 113 Å³ per cell
**Space group**: P4/mmm
**Density**: 8.033 Mg/m³
**Energy of formation**: -110 meV/atom

Cell: 3.4957 3.4957 9.2494 Å, 90.00 90.00 90.00°
Positions (direct):
Ru (0.5000, 0.5000, 0.0000)
Sm (0.0000, 0.0000, 0.8178)
Sm (0.0000, 0.0000, 0.1822)
Pm (0.5000, 0.5000, 0.5000)

---

A geometry-optimized PmSmTmRu structure. Source: Alexandria, functional GGA-PBE.

**Uncorrected energy**: -5.66 eV per atom
**Volume**: 101 Å³ per cell
**Space group**: F-43m
**Density**: 9.309 Mg/m³
**Energy of formation**: 148 meV/atom

Cell: 5.2246 5.2246 5.2246 Å, 60.00 60.00 60.00°
Positions (direct):
Ru (0.2500, 0.2500, 0.2500)
Tm (0.7500, 0.7500, 0.7500)
Sm (0.0000, 0.0000, 0.0000)
Pm (0.5000, 0.5000, 0.5000)

---

A geometry-optimized PmSmZnRu structure. Source: Alexandria, functional GGA-PBE.

**Uncorrected energy**: -5.27 eV per atom
**Volume**: 95 Å³ per cell
**Space group**: Amm2
**Density**: 8.080 Mg/m³
**Energy of formation**: -266 meV/atom

Cell: 4.0586 4.3435 5.7538 Å, 90.00 110.65 90.00°
Positions (direct):
Pm (0.8588, 0.5000, 0.7176)
Sm (0.1381, 0.0000, 0.2761)
Zn (0.4315, 0.0000, 0.8631)
Ru (0.5716, 0.5000, 0.1432)

---

A geometry-optimized PmSmZnRu structure. Source: Alexandria, functional GGA-PBE.

**Uncorrected energy**: -5.26 eV per atom
**Volume**: 90 Å³ per cell
**Space group**: F-43m
**Density**: 8.497 Mg/m³
**Energy of formation**: -256 meV/atom

Cell: 5.0349 5.0349 5.0349 Å, 60.00 60.00 60.00°
Positions (direct):
Ru (0.0000, 0.0000, 0.0000)
Zn (0.5000, 0.5000, 0.5000)
Sm (0.2500, 0.2500, 0.2500)
Pm (0.7500, 0.7500, 0.7500)

---

A geometry-optimized Pm2Sn8Ru structure. Source: Alexandria, functional GGA-PBE.

**Uncorrected energy**: -4.93 eV per atom
**Volume**: 292 Å³ per cell
**Space group**: C2/m
**Density**: 7.622 Mg/m³
**Energy of formation**: -315 meV/atom

Cell: 4.3357 6.7479 10.9519 Å, 111.11 101.42 90.00°
Positions (direct):
Pm (0.8154, 0.2402, 0.6309)
Pm (0.1846, 0.7598, 0.3691)
Sn (0.4002, 0.6083, 0.8003)
Sn (0.6281, 0.9919, 0.2561)
Sn (0.7918, 0.6903, 0.5837)
Sn (0.9829, 0.2399, 0.9658)
Sn (0.2082, 0.3097, 0.4163)
Sn (0.3719, 0.0081, 0.7439)
Sn (0.5998, 0.3917, 0.1997)
Sn (0.0171, 0.7601, 0.0342)
Ru (0.5000, 0.0000, 0.0000)

---

A geometry-optimized Pm5Sn2Ru structure. Source: Alexandria, functional GGA-PBE.

**Uncorrected energy**: -5.45 eV per atom
**Volume**: 226 Å³ per cell
**Space group**: I4mm
**Density**: 7.798 Mg/m³
**Energy of formation**: -325 meV/atom

Cell: 7.0929 7.0928 6.7382 Å, 121.74 121.73 90.04°
Positions (direct):
Pm (0.7331, 0.2367, 0.9698)
Pm (0.2367, 0.2367, 0.9698)
Pm (0.7331, 0.7331, 0.9698)
Pm (0.2367, 0.7331, 0.9698)
Pm (0.7510, 0.7510, 0.5021)
Sn (0.2299, 0.7298, 0.4597)
Sn (0.7299, 0.2299, 0.4597)
Ru (0.1266, 0.1266, 0.2532)

---

A geometry-optimized Pm5Sn2Ru2 structure. Source: Alexandria, functional GGA-PBE.

**Uncorrected energy**: -5.98 eV per atom
**Volume**: 495 Å³ per cell
**Space group**: Cmce
**Density**: 7.813 Mg/m³
**Energy of formation**: -394 meV/atom

Cell: 7.4378 8.2837 9.0393 Å, 117.27 90.00 90.00°
Positions (direct):
Pm (0.0000, 0.0000, 0.0000)
Pm (0.5000, 0.5000, 0.0000)
Pm (0.8350, 0.8057, 0.2470)
Pm (0.1650, 0.4413, 0.2470)
Pm (0.3350, 0.9413, 0.2470)
Pm (0.6650, 0.3057, 0.2470)
Pm (0.1650, 0.1943, 0.7530)
Pm (0.8350, 0.5587, 0.7530)
Pm (0.6650, 0.0587, 0.7530)
Pm (0.3350, 0.6943, 0.7530)
Sn (0.0000, 0.2155, 0.4310)
Sn (0.5000, 0.7155, 0.4310)
Sn (0.0000, 0.7845, 0.5690)
Sn (0.5000, 0.2845, 0.5690)
Ru (0.6156, 0.8831, 0.0000)
Ru (0.3844, 0.1169, 0.0000)
Ru (0.1156, 0.6169, 0.0000)
Ru (0.8844, 0.3831, 0.0000)

---

A geometry-optimized PmSn3Ru structure. Source: Alexandria, functional GGA-PBE.

**Uncorrected energy**: -5.43 eV per atom
**Volume**: 490 Å³ per cell
**Space group**: C2/c
**Density**: 8.160 Mg/m³
**Energy of formation**: -226 meV/atom

Cell: 5.7907 9.2458 9.2458 Å, 92.04 84.62 84.62°
Positions (direct):
Pm (0.4805, 0.5520, 0.7120)
Pm (0.0195, 0.2880, 0.4480)
Pm (0.5195, 0.4480, 0.2880)
Pm (0.9805, 0.7120, 0.5520)
Sn (0.1151, 0.7778, 0.9090)
Sn (0.3849, 0.0910, 0.2222)
Sn (0.8849, 0.2222, 0.0910)
Sn (0.6151, 0.9090, 0.7778)
Sn (0.3674, 0.3291, 0.9639)
Sn (0.1326, 0.0361, 0.6709)
Sn (0.6326, 0.6709, 0.0361)
Sn (0.8674, 0.9639, 0.3291)
Sn (0.9838, 0.4245, 0.7753)
Sn (0.5162, 0.2247, 0.5755)
Sn (0.0162, 0.5755, 0.2247)
Sn (0.4838, 0.7753, 0.4245)
Ru (0.7500, 0.9535, 0.0465)
Ru (0.2500, 0.0465, 0.9535)
Ru (0.7500, 0.1808, 0.8192)
Ru (0.2500, 0.8192, 0.1808)

---

A geometry-optimized Pm2Sn5Ru3 structure. Source: Alexandria, functional GGA-PBE.

**Uncorrected energy**: -6.15 eV per atom
**Volume**: 436 Å³ per cell
**Space group**: Cmc2_1
**Density**: 9.037 Mg/m³
**Energy of formation**: -417 meV/atom

Cell: 4.4987 7.2486 13.5619 Å, 90.00 99.55 90.00°
Positions (direct):
Pm (0.4775, 0.7540, 0.9549)
Pm (0.1736, 0.7342, 0.3472)
Pm (0.8264, 0.2342, 0.6528)
Pm (0.5225, 0.2540, 0.0451)
Sn (0.4031, 0.3838, 0.8062)
Sn (0.2904, 0.5177, 0.5807)
Sn (0.7096, 0.0177, 0.4193)
Sn (0.1224, 0.2471, 0.2448)
Sn (0.2934, 0.9415, 0.5868)
Sn (0.9502, 0.0837, 0.9004)
Sn (0.7066, 0.4415, 0.4132)
Sn (0.8776, 0.7471, 0.7552)
Sn (0.0498, 0.5837, 0.0996)
Sn (0.5969, 0.8838, 0.1938)
Ru (0.7762, 0.7279, 0.5524)
Ru (0.6063, 0.5052, 0.2127)
Ru (0.0496, 0.9697, 0.0993)
Ru (0.2238, 0.2279, 0.4476)
Ru (0.9504, 0.4697, 0.9007)
Ru (0.3937, 0.0052, 0.7873)

---

A geometry-optimized PmSn3Ru2 structure. Source: Alexandria, functional GGA-PBE.

**Uncorrected energy**: -6.15 eV per atom
**Volume**: 394 Å³ per cell
**Space group**: C2/m
**Density**: 8.899 Mg/m³
**Energy of formation**: -267 meV/atom

Cell: 4.2950 9.1722 10.6064 Å, 103.87 90.00 103.54°
Positions (direct):
Pm (0.1427, 0.2854, 0.6869)
Pm (0.8573, 0.7146, 0.3131)
Pm (0.0000, 0.0000, 0.0000)
Sn (0.0537, 0.1073, 0.3478)
Sn (0.9463, 0.8927, 0.6522)
Sn (0.2298, 0.4595, 0.3697)
Sn (0.7702, 0.5405, 0.6303)
Sn (0.6354, 0.2709, 0.1811)
Sn (0.3646, 0.7291, 0.8189)
Sn (0.5000, 0.0000, 0.5000)
Sn (0.3492, 0.6985, 0.0799)
Sn (0.6508, 0.3015, 0.9201)
Ru (0.2038, 0.4077, 0.0904)
Ru (0.7962, 0.5923, 0.9096)
Ru (0.4912, 0.9824, 0.2291)
Ru (0.5088, 0.0176, 0.7709)
Ru (0.3584, 0.7168, 0.5603)
Ru (0.6416, 0.2832, 0.4397)

---

A geometry-optimized Pm3SnRu structure. Source: Alexandria, functional GGA-PBE.

**Uncorrected energy**: -5.77 eV per atom
**Volume**: 156 Å³ per cell
**Space group**: Pm-3m
**Density**: 6.976 Mg/m³
**Energy of formation**: -260 meV/atom

Cell: 5.3816 5.3816 5.3816 Å, 90.00 90.00 90.00°
Positions (direct):
Ru (0.0000, 0.0000, 0.0000)
Sn (0.5000, 0.5000, 0.5000)
Pm (0.0000, 0.5000, 0.0000)
Pm (0.0000, 0.0000, 0.5000)
Pm (0.5000, 0.0000, 0.0000)

---

A geometry-optimized PmSnRu structure. Source: Alexandria, functional GGA-PBE.

**Uncorrected energy**: -6.54 eV per atom
**Volume**: 271 Å³ per cell
**Space group**: Pnma
**Density**: 8.926 Mg/m³
**Energy of formation**: -532 meV/atom

Cell: 4.8493 7.4102 7.5536 Å, 90.00 90.00 90.00°
Positions (direct):
Pm (0.2500, 0.8060, 0.4698)
Pm (0.7500, 0.3060, 0.0302)
Pm (0.2500, 0.6940, 0.9698)
Pm (0.7500, 0.1940, 0.5302)
Sn (0.7500, 0.8887, 0.1991)
Sn (0.7500, 0.6113, 0.6991)
Sn (0.2500, 0.1113, 0.8009)
Sn (0.2500, 0.3887, 0.3009)
Ru (0.7500, 0.5558, 0.3466)
Ru (0.7500, 0.9442, 0.8466)
Ru (0.2500, 0.0558, 0.1534)
Ru (0.2500, 0.4442, 0.6534)

---

A geometry-optimized Pm6Sn3Ru structure. Source: Alexandria, functional GGA-PBE.

**Uncorrected energy**: -5.45 eV per atom
**Volume**: 605 Å³ per cell
**Space group**: P2_1/c
**Density**: 7.281 Mg/m³
**Energy of formation**: -469 meV/atom

Cell: 6.1405 8.9087 11.0720 Å, 90.00 88.22 90.00°
Positions (direct):
Pm (0.6102, 0.1576, 0.9397)
Pm (0.5900, 0.1921, 0.5606)
Pm (0.6229, 0.4566, 0.2672)
Pm (0.3771, 0.5434, 0.7328)
Pm (0.4100, 0.8079, 0.4394)
Pm (0.3898, 0.8424, 0.0603)
Pm (0.1102, 0.3424, 0.4397)
Pm (0.0900, 0.3079, 0.0606)
Pm (0.1229, 0.0434, 0.7672)
Pm (0.8771, 0.9566, 0.2328)
Pm (0.9100, 0.6921, 0.9394)
Pm (0.8898, 0.6576, 0.5603)
Sn (0.6004, 0.8824, 0.7403)
Sn (0.5000, 0.5000, 0.0000)
Sn (0.3996, 0.1176, 0.2597)
Sn (0.1004, 0.6176, 0.2403)
Sn (0.0000, 0.0000, 0.5000)
Sn (0.8996, 0.3824, 0.7597)
Ru (0.5000, 0.5000, 0.5000)
Ru (0.0000, 0.0000, 0.0000)

---

A geometry-optimized Pm2Sn3Ru structure. Source: Alexandria, functional GGA-PBE.

**Uncorrected energy**: -5.47 eV per atom
**Volume**: 308 Å³ per cell
**Space group**: C2/c
**Density**: 8.065 Mg/m³
**Energy of formation**: -340 meV/atom

Cell: 6.4488 7.4575 7.4887 Å, 106.91 115.50 90.00°
Positions (direct):
Pm (0.6456, 0.5815, 0.3665)
Pm (0.7208, 0.0815, 0.3665)
Pm (0.2792, 0.9185, 0.6335)
Pm (0.3544, 0.4185, 0.6335)
Sn (0.6440, 0.2500, 0.0000)
Sn (0.3560, 0.7500, 0.0000)
Sn (0.1580, 0.0440, 0.2280)
Sn (0.9300, 0.4560, 0.7720)
Sn (0.0700, 0.5440, 0.2280)
Sn (0.8420, 0.9560, 0.7720)
Ru (0.7706, 0.7500, 0.0000)
Ru (0.2294, 0.2500, 0.0000)

---

A geometry-optimized Pm4SnRu2 structure. Source: Alexandria, functional GGA-PBE.

**Uncorrected energy**: -6.21 eV per atom
**Volume**: 193 Å³ per cell
**Space group**: R-3m
**Density**: 7.768 Mg/m³
**Energy of formation**: -278 meV/atom

Cell: 4.7729 4.7729 10.1421 Å, 76.39 76.39 60.00°
Positions (direct):
Pm (0.3879, 0.3879, 0.8363)
Pm (0.2032, 0.2032, 0.3902)
Pm (0.7968, 0.7968, 0.6098)
Pm (0.6121, 0.6121, 0.1637)
Sn (0.0000, 0.0000, 0.0000)
Ru (0.0965, 0.0965, 0.7106)
Ru (0.9035, 0.9035, 0.2894)

---

A geometry-optimized Pm5Sn3Ru3 structure. Source: Alexandria, functional GGA-PBE.

**Uncorrected energy**: -5.97 eV per atom
**Volume**: 340 Å³ per cell
**Space group**: P-62m
**Density**: 6.760 Mg/m³
**Energy of formation**: -192 meV/atom

Cell: 5.0843 8.7878 8.7878 Å, 120.00 90.00 90.00°
Positions (direct):
Pm (0.5000, 0.3333, 0.6667)
Pm (0.5000, 0.6667, 0.3333)
Pm (0.5000, 0.2466, 0.2466)
Pm (0.5000, 0.0000, 0.7534)
Pm (0.5000, 0.7534, 0.0000)
Sn (0.0000, 0.6549, 0.6549)
Sn (0.0000, 0.3451, 0.0000)
Sn (0.0000, 0.0000, 0.3451)
Ru (0.5000, 0.6206, 0.6206)
Ru (0.5000, 0.0000, 0.3794)
Ru (0.5000, 0.3794, 0.0000)